#P
DFT (PBE-GGA) results for a relaxed Sc2BiRh2 crystal.

Structure (extended XYZ):
```
10
Lattice="7.935 0.000 0.000 0.000 7.935 0.000 0.000 0.000 3.144" Properties=species:S:1:pos:R:3 pbc="T T T"
Sc 1.150 2.818 0.000
Sc 2.818 6.785 0.000
Sc 5.117 1.150 0.000
Sc 6.785 5.117 0.000
Bi 0.000 0.000 0.000
Bi 3.968 3.968 0.000
Rh 1.105 5.072 1.572
Rh 2.863 1.105 1.572
Rh 5.072 6.830 1.572
Rh 6.830 2.863 1.572
```

Calculated values
Space-group type = P4/mbm, No. 127
Theoretical density = 8.47 g/cm3
Total moment = 0.0 μB/cell
V = 99.0 Å³/f.u.


#Q
DFT (PBE-GGA) results for a relaxed Sc2BiRh2 crystal.

Structure (extended XYZ):
```
10
Lattice="7.662 0.000 0.000 0.000 7.662 0.000 0.000 0.000 3.272" Properties=species:S:1:pos:R:3 pbc="T T T"
Sc 1.230 2.601 0.000
Sc 2.601 6.432 0.000
Sc 5.061 1.230 0.000
Sc 6.432 5.061 0.000
Bi 0.000 0.000 1.636
Bi 3.831 3.831 1.636
Rh 1.017 4.848 1.636
Rh 2.814 1.017 1.636
Rh 4.848 6.645 1.636
Rh 6.645 2.814 1.636
```

Calculated values
Space-group type = P4/mbm, No. 127
Theoretical density = 8.73 g/cm3
Total moment = 0.0 μB/cell
V = 96.0 Å³/f.u.


It is #P that is the least stable of them.


#P
DFT (PBE-GGA) results for a relaxed Sc2BiRh2 crystal.

Structure (extended XYZ):
```
5
Lattice="-1.901 1.901 7.495 1.901 -1.901 7.495 1.901 1.901 -7.495" Properties=species:S:1:pos:R:3 pbc="T T T"
Sc 0.000 0.000 1.891
Sc 0.000 0.000 13.098
Bi 0.000 0.000 7.495
Rh 1.901 0.000 3.747
Rh 0.000 1.901 3.747
```

Calculated values
Space-group type = I4/mmm, No. 139
Theoretical density = 7.74 g/cm3
Total moment = 0.0 μB/cell
V = 108.3 Å³/f.u.


#Q
DFT (PBE-GGA) results for a relaxed Sc2BiRh2 crystal.

Structure (extended XYZ):
```
5
Lattice="-2.482 2.482 4.265 2.482 -2.482 4.265 2.482 2.482 -4.265" Properties=species:S:1:pos:R:3 pbc="T T T"
Sc 2.482 0.000 2.132
Sc 0.000 2.482 2.132
Bi 0.000 0.000 0.000
Rh 0.000 0.000 3.018
Rh 0.000 0.000 5.512
```

Calculated values
Space-group type = I4/mmm, No. 139
Theoretical density = 7.97 g/cm3
Total moment = 0.0 μB/cell
V = 105.1 Å³/f.u.


It is #P that is the least stable of them.


#P
DFT (PBE-GGA) results for a relaxed Bi3RhSe crystal.

Structure (extended XYZ):
```
5
Lattice="5.437 0.000 0.000 0.000 5.437 0.000 0.000 0.000 5.437" Properties=species:S:1:pos:R:3 pbc="T T T"
Bi 0.000 0.000 2.719
Bi 0.000 2.719 0.000
Bi 2.719 0.000 0.000
Rh 2.719 2.719 2.719
Se 0.000 0.000 0.000
```

Calculated values
Space-group type = Pm-3m, No. 221
Theoretical density = 8.35 g/cm3
Total moment = 0.0 μB/cell
V = 160.8 Å³/f.u.


#Q
DFT (PBE-GGA) results for a relaxed Bi3RhSe crystal.

Structure (extended XYZ):
```
5
Lattice="5.307 0.000 0.000 0.000 5.307 0.000 0.000 0.000 5.307" Properties=species:S:1:pos:R:3 pbc="T T T"
Bi 0.000 0.000 2.654
Bi 0.000 2.654 0.000
Bi 2.654 0.000 0.000
Rh 0.000 0.000 0.000
Se 2.654 2.654 2.654
```

Calculated values
Space-group type = Pm-3m, No. 221
Theoretical density = 8.98 g/cm3
Total moment = 0.0 μB/cell
V = 149.5 Å³/f.u.


It is #P that is the least stable of them.


#P
DFT (PBE-GGA) results for a relaxed BiRh2Se2 crystal.

Structure (extended XYZ):
```
10
Lattice="6.368 0.000 0.000 0.000 3.912 0.000 -2.061 0.000 8.633" Properties=species:S:1:pos:R:3 pbc="T T T"
Bi -0.536 0.978 3.004
Bi 4.843 2.934 5.629
Rh 0.612 2.934 1.435
Rh 1.028 2.934 4.398
Rh 3.279 0.978 4.235
Rh 3.695 0.978 7.198
Se 1.401 0.978 0.030
Se 1.515 0.978 5.971
Se 2.793 2.934 2.662
Se 2.907 2.934 8.603
```

Calculated values
Space-group type = P2_1/m, No. 11
Theoretical density = 8.84 g/cm3
Total moment = 0.0 μB/cell
V = 107.5 Å³/f.u.


#Q
DFT (PBE-GGA) results for a relaxed BiRh2Se2 crystal.

Structure (extended XYZ):
```
5
Lattice="-2.096 2.096 5.652 2.096 -2.096 5.652 2.096 2.096 -5.652" Properties=species:S:1:pos:R:3 pbc="T T T"
Bi 0.000 0.000 0.000
Rh 0.000 0.000 4.309
Rh 0.000 0.000 6.996
Se 2.096 0.000 2.826
Se 0.000 2.096 2.826
```

Calculated values
Space-group type = I4/mmm, No. 139
Theoretical density = 9.57 g/cm3
Total moment = 0.0 μB/cell
V = 99.3 Å³/f.u.


#R
DFT (PBE-GGA) results for a relaxed BiRh2Se2 crystal.

Structure (extended XYZ):
```
5
Lattice="-2.034 2.034 6.201 2.034 -2.034 6.201 2.034 2.034 -6.201" Properties=species:S:1:pos:R:3 pbc="T T T"
Bi 0.000 0.000 0.000
Rh 2.034 0.000 3.101
Rh 0.000 2.034 3.101
Se 0.000 0.000 4.565
Se 0.000 0.000 7.838
```

Calculated values
Space-group type = I4/mmm, No. 139
Theoretical density = 9.27 g/cm3
Total moment = 0.0 μB/cell
V = 102.6 Å³/f.u.


It is #Q that is the least stable of them.


#P
DFT (PBE-GGA) results for a relaxed BiRh3Se crystal.

Structure (extended XYZ):
```
5
Lattice="4.639 0.000 0.000 0.000 4.639 0.000 0.000 0.000 4.639" Properties=species:S:1:pos:R:3 pbc="T T T"
Bi 0.000 0.000 0.000
Rh 0.000 2.320 2.320
Rh 2.320 0.000 2.320
Rh 2.320 2.320 0.000
Se 2.320 2.320 2.320
```

Calculated values
Space-group type = Pm-3m, No. 221
Theoretical density = 9.92 g/cm3
Total moment = 0.0 μB/cell
V = 99.8 Å³/f.u.


#Q
DFT (PBE-GGA) results for a relaxed BiRh3Se crystal.

Structure (extended XYZ):
```
5
Lattice="4.978 0.000 0.000 0.000 4.978 0.000 0.000 0.000 4.978" Properties=species:S:1:pos:R:3 pbc="T T T"
Bi 0.000 0.000 0.000
Rh 0.000 0.000 2.489
Rh 0.000 2.489 0.000
Rh 2.489 0.000 0.000
Se 2.489 2.489 2.489
```

Calculated values
Space-group type = Pm-3m, No. 221
Theoretical density = 8.03 g/cm3
Total moment = 1.3 μB/cell
V = 123.4 Å³/f.u.


It is #Q that is the least stable of them.


#P
DFT (PBE-GGA) results for a relaxed SiBiRh2 crystal.

Structure (extended XYZ):
```
4
Lattice="0.000 3.221 3.221 3.221 0.000 3.221 3.221 3.221 0.000" Properties=species:S:1:pos:R:3 pbc="T T T"
Si 0.000 0.000 0.000
Bi 3.221 3.221 3.221
Rh 1.610 1.610 1.610
Rh 4.831 4.831 4.831
```

Calculated values
Space-group type = Fm-3m, No. 225
Theoretical density = 11.00 g/cm3
Total moment = 0.0 μB/cell
V = 66.8 Å³/f.u.


#Q
DFT (PBE-GGA) results for a relaxed SiBiRh2 crystal.

Structure (extended XYZ):
```
8
Lattice="-2.740 2.740 6.042 2.740 -2.740 6.042 2.740 2.740 -6.042" Properties=species:S:1:pos:R:3 pbc="T T T"
Si 0.000 0.000 0.000
Si 0.000 2.740 3.021
Bi 2.740 0.000 3.021
Bi 0.000 0.000 6.042
Rh 4.110 1.009 -1.511
Rh 1.009 1.370 1.511
Rh -1.370 1.731 4.532
Rh 1.731 1.370 7.553
```

Calculated values
Space-group type = I-42d, No. 122
Theoretical density = 8.11 g/cm3
Total moment = 0.0 μB/cell
V = 90.7 Å³/f.u.


It is #P that is the least stable of them.


#P
DFT (PBE-GGA) results for a relaxed Si2BiRh2 crystal.

Structure (extended XYZ):
```
5
Lattice="-1.865 1.865 6.280 1.865 -1.865 6.280 1.865 1.865 -6.280" Properties=species:S:1:pos:R:3 pbc="T T T"
Si 1.865 0.000 3.140
Si 0.000 1.865 3.140
Bi 0.000 0.000 0.000
Rh 0.000 0.000 4.623
Rh 0.000 0.000 7.936
```

Calculated values
Space-group type = I4/mmm, No. 139
Theoretical density = 8.95 g/cm3
Total moment = 0.0 μB/cell
V = 87.3 Å³/f.u.


#Q
DFT (PBE-GGA) results for a relaxed Si2BiRh2 crystal.

Structure (extended XYZ):
```
10
Lattice="7.542 0.000 0.000 0.000 7.542 0.000 0.000 0.000 2.905" Properties=species:S:1:pos:R:3 pbc="T T T"
Si 1.038 2.733 0.000
Si 2.733 6.505 0.000
Si 4.809 1.038 0.000
Si 6.505 4.809 0.000
Bi 0.000 0.000 1.453
Bi 3.771 3.771 1.453
Rh 1.051 4.822 1.453
Rh 2.720 1.051 1.453
Rh 4.822 6.492 1.453
Rh 6.492 2.720 1.453
```

Calculated values
Space-group type = P4/mbm, No. 127
Theoretical density = 9.46 g/cm3
Total moment = 0.0 μB/cell
V = 82.6 Å³/f.u.


It is #Q that is the least stable of them.